# 1
Material: NpPd8Pt2
Method: DFT, GGA-PBE
State: relaxed

Properties
V ... 17.20 Å³/atom
ΔE to the lowest computed polymorph ... 0.0 meV per atom
ΔH_f (0 K) ... -1.16 eV/f.u.
M_tot ... 1.98 μB/f.u.

CIF file:
```
data_NpPd8Pt2
_chemical_formula_sum 'Np2 Pd16 Pt4'
_cell_length_a 14.403
_cell_length_b 5.473
_cell_length_c 4.977
_cell_angle_alpha 90.00
_cell_angle_beta 105.32
_cell_angle_gamma 90.00
_symmetry_space_group_name_H-M 'C 1 2/m 1'
_symmetry_Int_Tables_number 12
loop_
_symmetry_equiv_pos_as_xyz
'x,y,z'
'-x,-y,-z'
'-x,y,-z'
'x,-y,z'
'x+1/2,y+1/2,z'
'-x+1/2,-y+1/2,-z'
'-x+1/2,y+1/2,-z'
'x+1/2,-y+1/2,z'
loop_
_atom_site_label
_atom_site_fract_x
_atom_site_fract_y
_atom_site_fract_z
Np1 0.000 0.000 0.000
Pd1 0.000 0.500 0.251
Pd2 0.149 0.245 0.610
Pd3 0.175 0.500 0.135
Pt1 0.181 0.000 0.142
```


# 2
Material: NpPd2Pt2
Method: DFT, GGA-PBE
State: relaxed

Properties
V ... 19.67 Å³/atom
ΔH_f (0 K) ... -0.43 eV/f.u.
M_tot ... 2.90 μB/f.u.

CIF file:
```
data_NpPd2Pt2
_chemical_formula_sum 'Np1 Pd2 Pt2'
_cell_length_a 4.5596
_cell_length_b 4.5596
_cell_length_c 5.4632
_cell_angle_alpha 90.00
_cell_angle_beta 90.00
_cell_angle_gamma 120.00
_symmetry_space_group_name_H-M 'P -6 m 2'
_symmetry_Int_Tables_number 187
_symmetry_space_group_name_Hall 'P -6 2'
loop_
_atom_site_label
_atom_site_fract_x
_atom_site_fract_y
_atom_site_fract_z
Np1 0.0000 0.0000 0.0000
Pd1 0.0000 0.0000 0.5000
Pd2 0.3333 0.6667 0.0000
Pt1 0.6667 0.3333 0.2554
```


# 3
Material: NpPdPt6
Method: DFT, GGA-PBE
State: relaxed

Properties
V ... 16.65 Å³/atom
ΔH_f (0 K) ... -2.82 eV/f.u.
M_tot ... 1.83 μB/f.u.

CIF file:
```
data_NpPdPt6
_chemical_formula_sum 'Np1 Pd1 Pt6'
_cell_length_a 5.722
_cell_length_b 5.722
_cell_length_c 4.067
_cell_angle_alpha 90.00
_cell_angle_beta 90.00
_cell_angle_gamma 90.00
_symmetry_space_group_name_H-M 'P 4/m m m'
_symmetry_Int_Tables_number 123
_symmetry_space_group_name_Hall '-P 4 2'
loop_
_atom_site_label
_atom_site_fract_x
_atom_site_fract_y
_atom_site_fract_z
Np1 0.000 0.000 0.000
Pd1 0.500 0.500 0.000
Pt1 0.000 0.500 0.000
Pt2 0.252 0.252 0.500
```


# 4
Material: Np2PdPt6
Method: DFT, GGA-PBE
State: relaxed

Properties
V ... 17.51 Å³/atom
ΔH_f (0 K) ... -4.09 eV/f.u.
M_tot ... 6.25 μB/f.u.

CIF file:
```
data_Np2PdPt6
_chemical_formula_sum 'Np4 Pd2 Pt12'
_cell_length_a 12.561
_cell_length_b 4.004
_cell_length_c 6.468
_cell_angle_alpha 90.00
_cell_angle_beta 104.27
_cell_angle_gamma 90.00
_symmetry_space_group_name_H-M 'C 1 2/m 1'
_symmetry_Int_Tables_number 12
loop_
_symmetry_equiv_pos_as_xyz
'x,y,z'
'-x,-y,-z'
'-x,y,-z'
'x,-y,z'
'x+1/2,y+1/2,z'
'-x+1/2,-y+1/2,-z'
'-x+1/2,y+1/2,-z'
'x+1/2,-y+1/2,z'
loop_
_atom_site_label
_atom_site_fract_x
_atom_site_fract_y
_atom_site_fract_z
Np1 0.052 0.000 0.343
Pd1 0.000 0.500 0.000
Pt1 0.125 0.500 0.696
Pt2 0.166 0.000 0.016
Pt3 0.215 0.500 0.339
```


# 5
Material: NpPd3Pt
Method: DFT, GGA-PBE
State: relaxed

Properties
V ... 20.13 Å³/atom
ΔE to the lowest computed polymorph ... 0.0 meV per atom
ΔH_f (0 K) ... -0.34 eV/f.u.
M_tot ... 3.14 μB/f.u.

CIF file:
```
data_NpPd3Pt
_chemical_formula_sum 'Np4 Pd12 Pt4'
_cell_length_a 5.638
_cell_length_b 14.095
_cell_length_c 5.065
_cell_angle_alpha 90.00
_cell_angle_beta 90.00
_cell_angle_gamma 90.00
_symmetry_space_group_name_H-M 'C m c m'
_symmetry_Int_Tables_number 63
_symmetry_space_group_name_Hall '-C 2c 2'
loop_
_atom_site_label
_atom_site_fract_x
_atom_site_fract_y
_atom_site_fract_z
Np1 0.000 0.183 0.250
Pd1 0.000 0.000 0.000
Pd2 0.237 0.365 0.250
Pt1 0.000 0.312 0.750
```


# 6
Material: NpPd5Pt6
Method: DFT, GGA-PBE
State: relaxed

Properties
V ... 16.21 Å³/atom
ΔH_f (0 K) ... -2.90 eV/f.u.
M_tot ... 1.61 μB/f.u.

CIF file:
```
data_NpPd5Pt6
_chemical_formula_sum 'Np2 Pd10 Pt12'
_cell_length_a 4.032
_cell_length_b 8.107
_cell_length_c 11.899
_cell_angle_alpha 90.00
_cell_angle_beta 90.00
_cell_angle_gamma 90.00
_symmetry_space_group_name_H-M 'I m m m'
_symmetry_Int_Tables_number 71
_symmetry_space_group_name_Hall '-I 2 2'
loop_
_atom_site_label
_atom_site_fract_x
_atom_site_fract_y
_atom_site_fract_z
Np1 0.000 0.000 0.000
Pd1 0.000 0.000 0.334
Pd2 0.000 0.500 0.000
Pd3 0.000 0.500 0.332
Pt1 0.000 0.249 0.167
Pt2 0.000 0.249 0.500
```


# 7
Material: Np4Pd6Pt7
Method: DFT, GGA-PBE
State: relaxed

Properties
V ... 18.44 Å³/atom
ΔH_f (0 K) ... -7.25 eV/f.u.
M_tot ... 14.49 μB/f.u.

CIF file:
```
data_Np4Pd6Pt7
_chemical_formula_sum 'Np8 Pd12 Pt14'
_cell_length_a 8.558
_cell_length_b 8.558
_cell_length_c 8.558
_cell_angle_alpha 90.00
_cell_angle_beta 90.00
_cell_angle_gamma 90.00
_symmetry_space_group_name_H-M 'I m -3 m'
_symmetry_Int_Tables_number 229
_symmetry_space_group_name_Hall '-I 4 2 3'
loop_
_atom_site_label
_atom_site_fract_x
_atom_site_fract_y
_atom_site_fract_z
Np1 0.250 0.250 0.250
Pd1 0.000 0.000 0.302
Pt1 0.000 0.000 0.000
Pt2 0.000 0.250 0.500
```


# 8
Material: Np2Pd5Pt5
Method: DFT, GGA-PBE
State: relaxed

Properties
V ... 17.01 Å³/atom
ΔH_f (0 K) ... -4.91 eV/f.u.
M_tot ... 5.12 μB/f.u.

CIF file:
```
data_Np2Pd5Pt5
_chemical_formula_sum 'Np4 Pd10 Pt10'
_cell_length_a 12.002
_cell_length_b 4.127
_cell_length_c 9.104
_cell_angle_alpha 90.00
_cell_angle_beta 115.14
_cell_angle_gamma 90.00
_symmetry_space_group_name_H-M 'C 1 2/m 1'
_symmetry_Int_Tables_number 12
loop_
_symmetry_equiv_pos_as_xyz
'x,y,z'
'-x,-y,-z'
'-x,y,-z'
'x,-y,z'
'x+1/2,y+1/2,z'
'-x+1/2,-y+1/2,-z'
'-x+1/2,y+1/2,-z'
'x+1/2,-y+1/2,z'
loop_
_atom_site_label
_atom_site_fract_x
_atom_site_fract_y
_atom_site_fract_z
Np1 0.083 0.000 0.252
Pd1 0.000 0.000 0.500
Pd2 0.168 0.000 0.001
Pd3 0.247 0.500 0.249
Pt1 0.000 0.500 0.000
Pt2 0.082 0.500 0.753
Pt3 0.166 0.500 0.506
```


# 9
Material: Np2PdPt
Method: DFT, GGA-PBE
State: relaxed

Properties
V ... 20.86 Å³/atom
ΔH_f (0 K) ... -1.08 eV/f.u.
M_tot ... 8.81 μB/f.u.

CIF file:
```
data_Np2PdPt
_chemical_formula_sum 'Np2 Pd1 Pt1'
_cell_length_a 3.811
_cell_length_b 3.811
_cell_length_c 5.746
_cell_angle_alpha 90.00
_cell_angle_beta 90.00
_cell_angle_gamma 90.00
_symmetry_space_group_name_H-M 'P 4/m m m'
_symmetry_Int_Tables_number 123
_symmetry_space_group_name_Hall '-P 4 2'
loop_
_atom_site_label
_atom_site_fract_x
_atom_site_fract_y
_atom_site_fract_z
Np1 0.000 0.000 0.247
Pd1 0.500 0.500 0.500
Pt1 0.500 0.500 0.000
```


# 10
Material: NpPdPt3
Method: DFT, GGA-PBE
State: relaxed

Properties
V ... 19.22 Å³/atom
ΔH_f (0 K) ... -1.30 eV/f.u.
M_tot ... 3.02 μB/f.u.

CIF file:
```
data_NpPdPt3
_chemical_formula_sum 'Np4 Pd4 Pt12'
_cell_length_a 5.167
_cell_length_b 14.290
_cell_length_c 5.236
_cell_angle_alpha 90.00
_cell_angle_beta 96.26
_cell_angle_gamma 90.00
_symmetry_space_group_name_H-M 'C 1 2/c 1'
_symmetry_Int_Tables_number 15
loop_
_symmetry_equiv_pos_as_xyz
'x,y,z'
'-x,-y,-z'
'-x,y,-z+1/2'
'x,-y,z+1/2'
'x+1/2,y+1/2,z'
'-x+1/2,-y+1/2,-z'
'-x+1/2,y+1/2,-z+1/2'
'x+1/2,-y+1/2,z+1/2'
loop_
_atom_site_label
_atom_site_fract_x
_atom_site_fract_y
_atom_site_fract_z
Np1 0.000 0.184 0.250
Pd1 0.000 0.452 0.750
Pt1 0.000 0.000 0.000
Pt2 0.242 0.357 0.213
```


# 11
Material: Np4Pd12Pt
Method: DFT, GGA-PBE
State: relaxed

Properties
V ... 18.42 Å³/atom
ΔH_f (0 K) ... -5.79 eV/f.u.
M_tot ... 15.10 μB/f.u.

CIF file:
```
data_Np4Pd12Pt
_chemical_formula_sum 'Np8 Pd24 Pt2'
_cell_length_a 8.555
_cell_length_b 8.555
_cell_length_c 8.555
_cell_angle_alpha 90.00
_cell_angle_beta 90.00
_cell_angle_gamma 90.00
_symmetry_space_group_name_H-M 'I m -3 m'
_symmetry_Int_Tables_number 229
_symmetry_space_group_name_Hall '-I 4 2 3'
loop_
_atom_site_label
_atom_site_fract_x
_atom_site_fract_y
_atom_site_fract_z
Np1 0.250 0.250 0.250
Pd1 0.000 0.000 0.302
Pd2 0.000 0.250 0.500
Pt1 0.000 0.000 0.000
```


# 12
Material: NpPd2Pt5
Method: DFT, GGA-PBE
State: relaxed

Properties
V ... 16.65 Å³/atom
ΔH_f (0 K) ... -2.67 eV/f.u.
M_tot ... 2.19 μB/f.u.

CIF file:
```
data_NpPd2Pt5
_chemical_formula_sum 'Np4 Pd8 Pt20'
_cell_length_a 5.746
_cell_length_b 8.007
_cell_length_c 11.578
_cell_angle_alpha 90.00
_cell_angle_beta 90.00
_cell_angle_gamma 90.00
_symmetry_space_group_name_H-M 'F m m m'
_symmetry_Int_Tables_number 69
_symmetry_space_group_name_Hall '-F 2 2'
loop_
_atom_site_label
_atom_site_fract_x
_atom_site_fract_y
_atom_site_fract_z
Np1 0.000 0.000 0.000
Pd1 0.000 0.000 0.254
Pt1 0.000 0.000 0.500
Pt2 0.250 0.250 0.127
```